Record 1
Material: KSrYO2
Method: DFT, PBE-GGA
State: optimized geometry

Structure (CIF):
```
data_KSrYO2
_cell_length_a 4.900
_cell_length_b 4.900
_cell_length_c 4.995
_cell_angle_alpha 90.00
_cell_angle_beta 90.00
_cell_angle_gamma 90.00
_space_group_name_H-M_alt 'P 4/m m m'
_space_group_IT_number 123
_space_group_name_Hall '-P 4 2'
loop_
_atom_site_label
_atom_site_fract_x
_atom_site_fract_y
_atom_site_fract_z
K1 0.000 0.000 0.000
Sr1 0.000 0.000 0.500
Y1 0.500 0.500 0.500
O1 0.000 0.500 0.000
```

Computed properties:
ΔE_f (raw) = 0.181 eV per atom

Record 2
Material: K2SrZn2O4
Method: DFT, PBE-GGA
State: optimized geometry

Structure (CIF):
```
data_K2SrZn2O4
_cell_length_a 12.509
_cell_length_b 3.661
_cell_length_c 9.088
_cell_angle_alpha 90.00
_cell_angle_beta 130.48
_cell_angle_gamma 90.00
_space_group_name_H-M_alt 'C 1 2/m 1'
_space_group_IT_number 12
loop_
_space_group_symop_operation_xyz
'x,y,z'
'-x,-y,-z'
'-x,y,-z'
'x,-y,z'
'x+1/2,y+1/2,z'
'-x+1/2,-y+1/2,-z'
'-x+1/2,y+1/2,-z'
'x+1/2,-y+1/2,z'
loop_
_atom_site_label
_atom_site_fract_x
_atom_site_fract_y
_atom_site_fract_z
K1 0.166 0.000 0.273
Sr1 0.000 0.000 0.500
Zn1 0.140 0.500 0.870
O1 0.053 0.500 0.362
O2 0.229 0.000 0.848
```

Computed properties:
ΔE_f (raw) = -1.678 eV per atom

Record 3
Material: KSrZnO2
Method: DFT, PBE-GGA
State: optimized geometry

Structure (CIF):
```
data_KSrZnO2
_cell_length_a 7.677
_cell_length_b 6.210
_cell_length_c 7.385
_cell_angle_alpha 90.00
_cell_angle_beta 118.02
_cell_angle_gamma 90.00
_space_group_name_H-M_alt 'P 1 2/c 1'
_space_group_IT_number 13
loop_
_space_group_symop_operation_xyz
'x,y,z'
'-x,-y,-z'
'-x,y,-z+1/2'
'x,-y,z+1/2'
loop_
_atom_site_label
_atom_site_fract_x
_atom_site_fract_y
_atom_site_fract_z
K1 0.000 0.208 0.250
Sr1 0.500 0.499 0.750
Zn1 0.500 0.000 0.000
O1 0.391 0.265 0.446
```

Computed properties:
ΔE_f (raw) = -1.533 eV per atom

Record 4
Material: K2SrZr3O8
Method: DFT, PBE-GGA
State: optimized geometry

Structure (CIF):
```
data_K2SrZr3O8
_cell_length_a 6.6509
_cell_length_b 6.6509
_cell_length_c 18.5467
_cell_angle_alpha 90.00
_cell_angle_beta 90.00
_cell_angle_gamma 120.00
_space_group_name_H-M_alt 'R 3 m'
_space_group_IT_number 160
_space_group_name_Hall 'R 3 -2"'
loop_
_atom_site_label
_atom_site_fract_x
_atom_site_fract_y
_atom_site_fract_z
K1 0.0000 0.0000 0.0000
K2 0.0000 0.0000 0.3718
Sr1 0.0000 0.0000 0.7562
Zr1 0.0032 0.5016 0.8733
O1 0.0000 0.0000 0.1446
O2 0.0000 0.0000 0.6026
O3 0.0343 0.5171 0.1461
O4 0.1866 0.3732 0.9288
```

Computed properties:
ΔE_f (raw) = -2.840 eV per atom

Record 5
Material: K3TaO
Method: DFT, PBE-GGA
State: optimized geometry

Structure (CIF):
```
data_K3TaO
_cell_length_a 5.406
_cell_length_b 5.406
_cell_length_c 5.406
_cell_angle_alpha 90.00
_cell_angle_beta 90.00
_cell_angle_gamma 90.00
_space_group_name_H-M_alt 'P m -3 m'
_space_group_IT_number 221
_space_group_name_Hall '-P 4 2 3'
loop_
_atom_site_label
_atom_site_fract_x
_atom_site_fract_y
_atom_site_fract_z
K1 0.000 0.000 0.500
Ta1 0.500 0.500 0.500
O1 0.000 0.000 0.000
```

Computed properties:
distance to the lowest polymorph of the same formula = 0 meV per atom
ΔE_f (raw) = 0.880 eV per atom

Record 6
Material: KTa3O
Method: DFT, PBE-GGA
State: optimized geometry

Structure (CIF):
```
data_KTa3O
_cell_length_a 4.620
_cell_length_b 4.620
_cell_length_c 4.620
_cell_angle_alpha 90.00
_cell_angle_beta 90.00
_cell_angle_gamma 90.00
_space_group_name_H-M_alt 'P m -3 m'
_space_group_IT_number 221
_space_group_name_Hall '-P 4 2 3'
loop_
_atom_site_label
_atom_site_fract_x
_atom_site_fract_y
_atom_site_fract_z
K1 0.000 0.000 0.000
Ta1 0.000 0.000 0.500
O1 0.500 0.500 0.500
```

Computed properties:
distance to the lowest polymorph of the same formula = 2945 meV per atom
ΔE_f (raw) = 3.490 eV per atom

Record 7
Material: K4TaO4
Method: DFT, PBE-GGA
State: optimized geometry

Structure (CIF):
```
data_K4TaO4
_cell_length_a 7.065
_cell_length_b 7.065
_cell_length_c 9.470
_cell_angle_alpha 90.00
_cell_angle_beta 90.00
_cell_angle_gamma 90.00
_space_group_name_H-M_alt 'P 42/n m c'
_space_group_IT_number 137
loop_
_space_group_symop_operation_xyz
'x,y,z'
'-x,-y,-z'
'-y+1/2,x,z+1/2'
'y+1/2,-x,-z+1/2'
'-x+1/2,-y+1/2,z'
'x+1/2,y+1/2,-z'
'y,-x+1/2,z+1/2'
'-y,x+1/2,-z+1/2'
'x+1/2,-y,-z'
'-x+1/2,y,z'
'-y,-x,-z+1/2'
'y,x,z+1/2'
'-x,y+1/2,-z'
'x,-y+1/2,z'
'y+1/2,x+1/2,-z+1/2'
'-y+1/2,-x+1/2,z+1/2'
loop_
_atom_site_label
_atom_site_fract_x
_atom_site_fract_y
_atom_site_fract_z
K1 0.013 0.250 0.071
Ta1 0.250 0.750 0.250
O1 0.040 0.750 0.372
```

Computed properties:
ΔE_f (raw) = -1.927 eV per atom

Record 8
Material: K4TaO5
Method: DFT, PBE-GGA
State: optimized geometry

Structure (CIF):
```
data_K4TaO5
_cell_length_a 9.968
_cell_length_b 9.968
_cell_length_c 4.112
_cell_angle_alpha 90.00
_cell_angle_beta 90.00
_cell_angle_gamma 90.00
_space_group_name_H-M_alt 'I 4'
_space_group_IT_number 79
loop_
_space_group_symop_operation_xyz
'x,y,z'
'-y,x,z'
'-x,-y,z'
'y,-x,z'
'x+1/2,y+1/2,z+1/2'
'-y+1/2,x+1/2,z+1/2'
'-x+1/2,-y+1/2,z+1/2'
'y+1/2,-x+1/2,z+1/2'
loop_
_atom_site_label
_atom_site_fract_x
_atom_site_fract_y
_atom_site_fract_z
K1 0.101 0.747 0.000
Ta1 0.000 0.000 0.501
O1 0.000 0.000 0.999
O2 0.074 0.187 0.499
```

Computed properties:
ΔE_f (raw) = -1.911 eV per atom

Record 9
Material: KTa4O8
Method: DFT, PBE-GGA
State: optimized geometry

Structure (CIF):
```
data_KTa4O8
_cell_length_a 14.997
_cell_length_b 2.964
_cell_length_c 10.482
_cell_angle_alpha 90.00
_cell_angle_beta 133.68
_cell_angle_gamma 90.00
_space_group_name_H-M_alt 'C 1 2/m 1'
_space_group_IT_number 12
loop_
_space_group_symop_operation_xyz
'x,y,z'
'-x,-y,-z'
'-x,y,-z'
'x,-y,z'
'x+1/2,y+1/2,z'
'-x+1/2,-y+1/2,-z'
'-x+1/2,y+1/2,-z'
'x+1/2,-y+1/2,z'
loop_
_atom_site_label
_atom_site_fract_x
_atom_site_fract_y
_atom_site_fract_z
K1 0.000 0.000 0.000
Ta1 0.160 0.500 0.513
Ta2 0.166 0.000 0.851
O1 0.031 0.000 0.362
O2 0.133 0.500 0.958
O3 0.160 0.500 0.698
O4 0.200 0.500 0.358
```

Computed properties:
ΔE_f (raw) = -2.425 eV per atom

Record 10
Material: K3TaO6
Method: DFT, PBE-GGA
State: optimized geometry

Structure (CIF):
```
data_K3TaO6
_cell_length_a 6.5141
_cell_length_b 6.5141
_cell_length_c 10.7514
_cell_angle_alpha 90.00
_cell_angle_beta 90.00
_cell_angle_gamma 120.00
_space_group_name_H-M_alt 'P 63 2 2'
_space_group_IT_number 182
_space_group_name_Hall 'P 6c 2c'
loop_
_atom_site_label
_atom_site_fract_x
_atom_site_fract_y
_atom_site_fract_z
K1 0.0000 0.0000 0.0000
K2 0.3333 0.6667 0.0809
Ta1 0.3333 0.6667 0.7500
O1 0.1332 0.3940 0.6404
```

Computed properties:
ΔE_f (raw) = -1.436 eV per atom

Record 11
Material: K3Ta2O6
Method: DFT, PBE-GGA
State: optimized geometry

Structure (CIF):
```
data_K3Ta2O6
_cell_length_a 3.966
_cell_length_b 3.966
_cell_length_c 22.982
_cell_angle_alpha 90.00
_cell_angle_beta 90.00
_cell_angle_gamma 90.00
_space_group_name_H-M_alt 'I 4/m m m'
_space_group_IT_number 139
_space_group_name_Hall '-I 4 2'
loop_
_atom_site_label
_atom_site_fract_x
_atom_site_fract_y
_atom_site_fract_z
K1 0.000 0.000 0.000
K2 0.000 0.000 0.194
Ta1 0.000 0.000 0.396
O1 0.000 0.000 0.316
O2 0.000 0.500 0.091
```

Computed properties:
ΔE_f (raw) = -2.353 eV per atom

Record 12
Material: K4Ta3O10
Method: DFT, PBE-GGA
State: optimized geometry

Structure (CIF):
```
data_K4Ta3O10
_cell_length_a 4.031
_cell_length_b 4.031
_cell_length_c 30.190
_cell_angle_alpha 90.00
_cell_angle_beta 90.00
_cell_angle_gamma 90.00
_space_group_name_H-M_alt 'I 4/m m m'
_space_group_IT_number 139
_space_group_name_Hall '-I 4 2'
loop_
_atom_site_label
_atom_site_fract_x
_atom_site_fract_y
_atom_site_fract_z
K1 0.000 0.000 0.068
K2 0.000 0.000 0.208
Ta1 0.000 0.000 0.362
Ta2 0.000 0.000 0.500
O1 0.000 0.000 0.300
O2 0.000 0.000 0.434
O3 0.000 0.500 0.000
O4 0.000 0.500 0.134
```

Computed properties:
ΔE_f (raw) = -2.467 eV per atom

Record 13
Material: K6Ta11O30
Method: DFT, PBE-GGA
State: optimized geometry

Structure (CIF):
```
data_K6Ta11O30
_cell_length_a 3.962
_cell_length_b 18.113
_cell_length_c 18.316
_cell_angle_alpha 90.00
_cell_angle_beta 90.00
_cell_angle_gamma 90.00
_space_group_name_H-M_alt 'A m m 2'
_space_group_IT_number 38
loop_
_space_group_symop_operation_xyz
'x,y,z'
'-x,-y,z'
'-x,y,z'
'x,-y,z'
'x,y+1/2,z+1/2'
'-x,-y+1/2,z+1/2'
'-x,y+1/2,z+1/2'
'x,-y+1/2,z+1/2'
loop_
_atom_site_label
_atom_site_fract_x
_atom_site_fract_y
_atom_site_fract_z
K1 0.000 0.000 0.000
K2 0.000 0.000 0.329
K3 0.000 0.181 0.642
K4 0.000 0.245 0.414
Ta1 0.000 0.000 0.775
Ta2 0.500 0.000 0.157
Ta3 0.500 0.000 0.646
Ta4 0.500 0.108 0.473
Ta5 0.500 0.116 0.850
Ta6 0.500 0.177 0.266
Ta7 0.500 0.184 0.059
O1 0.000 0.000 0.162
O2 0.000 0.000 0.665
O3 0.000 0.094 0.835
O4 0.000 0.109 0.478
O5 0.000 0.185 0.051
O6 0.000 0.189 0.271
O7 0.500 0.000 0.451
O8 0.500 0.000 0.872
O9 0.500 0.067 0.744
O10 0.500 0.077 0.239
O11 0.500 0.078 0.083
O12 0.500 0.081 0.585
O13 0.500 0.143 0.947
O14 0.500 0.145 0.374
O15 0.500 0.210 0.809
O16 0.500 0.213 0.162
O17 0.500 0.213 0.517
```

Computed properties:
ΔE_f (raw) = -2.671 eV per atom

Record 14
Material: KTa2O2
Method: DFT, PBE-GGA
State: optimized geometry

Structure (CIF):
```
data_KTa2O2
_cell_length_a 3.662
_cell_length_b 3.662
_cell_length_c 13.136
_cell_angle_alpha 90.00
_cell_angle_beta 90.00
_cell_angle_gamma 90.00
_space_group_name_H-M_alt 'I 4/m m m'
_space_group_IT_number 139
_space_group_name_Hall '-I 4 2'
loop_
_atom_site_label
_atom_site_fract_x
_atom_site_fract_y
_atom_site_fract_z
K1 0.000 0.000 0.000
Ta1 0.000 0.500 0.250
O1 0.000 0.000 0.358
```

Computed properties:
distance to the lowest polymorph of the same formula = 0 meV per atom
ΔE_f (raw) = -0.873 eV per atom

Record 15
Material: K3TaO
Method: DFT, PBE-GGA
State: optimized geometry

Structure (CIF):
```
data_K3TaO
_cell_length_a 6.606
_cell_length_b 6.606
_cell_length_c 6.606
_cell_angle_alpha 90.00
_cell_angle_beta 90.00
_cell_angle_gamma 90.00
_space_group_name_H-M_alt 'P m -3 m'
_space_group_IT_number 221
_space_group_name_Hall '-P 4 2 3'
loop_
_atom_site_label
_atom_site_fract_x
_atom_site_fract_y
_atom_site_fract_z
K1 0.000 0.000 0.500
Ta1 0.000 0.000 0.000
O1 0.500 0.500 0.500
```

Computed properties:
distance to the lowest polymorph of the same formula = 606 meV per atom
ΔE_f (raw) = 1.487 eV per atom

Record 16
Material: KTa2O5
Method: DFT, PBE-GGA
State: optimized geometry

Structure (CIF):
```
data_KTa2O5
_cell_length_a 3.874
_cell_length_b 10.850
_cell_length_c 10.697
_cell_angle_alpha 90.00
_cell_angle_beta 90.00
_cell_angle_gamma 90.00
_space_group_name_H-M_alt 'C m c m'
_space_group_IT_number 63
_space_group_name_Hall '-C 2c 2'
loop_
_atom_site_label
_atom_site_fract_x
_atom_site_fract_y
_atom_site_fract_z
K1 0.000 0.094 0.250
Ta1 0.000 0.367 0.067
O1 0.000 0.182 0.542
O2 0.000 0.335 0.250
O3 0.000 0.460 0.604
```

Computed properties:
ΔE_f (raw) = -2.536 eV per atom

Record 17
Material: KTa5O13
Method: DFT, PBE-GGA
State: optimized geometry

Structure (CIF):
```
data_KTa5O13
_cell_length_a 5.728
_cell_length_b 10.860
_cell_length_c 17.036
_cell_angle_alpha 90.00
_cell_angle_beta 90.00
_cell_angle_gamma 90.00
_space_group_name_H-M_alt 'P b c m'
_space_group_IT_number 57
loop_
_space_group_symop_operation_xyz
'x,y,z'
'-x,-y,-z'
'-x,-y,z+1/2'
'x,y,-z+1/2'
'x,-y+1/2,-z'
'-x,y+1/2,z'
'-x,y+1/2,-z+1/2'
'x,-y+1/2,z+1/2'
loop_
_atom_site_label
_atom_site_fract_x
_atom_site_fract_y
_atom_site_fract_z
K1 0.202 0.174 0.250
Ta1 0.160 0.564 0.076
Ta2 0.335 0.250 0.000
Ta3 0.346 0.633 0.637
O1 0.089 0.518 0.636
O2 0.130 0.107 0.503
O3 0.136 0.717 0.127
O4 0.360 0.626 0.513
O5 0.367 0.650 0.750
O6 0.399 0.248 0.111
O7 0.408 0.005 0.634
```

Computed properties:
ΔE_f (raw) = -2.820 eV per atom

| no. | theoretical density (Mg/m³) | total DFT energy (no corrections) (eV/atom) |
| --- | --- | --- |
| 1 | 3.43 | -3.651 |
| 2 | 3.78 | -4.596 |
| 3 | 2.40 | -4.327 |
| 4 | 3.98 | -7.782 |
| 5 | 3.30 | -3.140 |
| 6 | 10.07 | -4.832 |
| 7 | 2.82 | -5.936 |
| 8 | 3.39 | -6.014 |
| 9 | 8.78 | -9.207 |
| 10 | 3.31 | -5.925 |
| 11 | 5.28 | -7.512 |
| 12 | 5.82 | -7.734 |
| 13 | 6.83 | -8.750 |
| 14 | 8.16 | -7.816 |
| 15 | 1.81 | -2.534 |
| 16 | 7.11 | -8.735 |
| 17 | 7.22 | -9.389 |